[1]
! Sm5Y2Ho4 PBE-GGA optimized geometry; values from VASP
&SYSTEM
  ibrav = 0, nat = 11, ntyp = 3
/
ATOMIC_SPECIES
Ho 164.93 Ho.upf
Sm 150.36 Sm.upf
Y 88.91 Y.upf
ATOMIC_POSITIONS crystal
Ho 0.9104 0.5886 0.7981
Sm 0.2344 0.7049 0.8923
Sm 0.0000 0.0000 0.5000
Y 0.3087 0.0839 0.6974
Ho 0.0896 0.4114 0.2019
Sm 0.4020 0.8259 0.1165
Y 0.6913 0.9161 0.3026
Ho 0.2949 0.4923 0.4387
Sm 0.5980 0.1741 0.8835
Ho 0.7051 0.5077 0.5613
Sm 0.7656 0.2951 0.1077
CELL_PARAMETERS angstrom
-5.4723 0.5257 3.5278
-4.9705 -6.0092 4.1725
1.4885 -0.2062 9.2138
! * density of states at the Fermi level: 16.5 states/eV per cell
! * raw total energy: -0.36023 Ry/atom
! * crystal system: triclinic
! * energy relative to the lowest polymorph listed for this composition: 0.000 eV per atom


[2]
! MgSe2N2 PBE-GGA optimized geometry; values from VASP
&SYSTEM
  ibrav = 0, nat = 5, ntyp = 3
/
ATOMIC_SPECIES
Mg 24.30 Mg.upf
Se 78.96 Se.upf
N 14.01 N.upf
ATOMIC_POSITIONS crystal
Mg 0.0000 0.0000 0.0000
Se 0.0000 0.0000 0.5000
Se 0.5000 0.5000 0.5000
N 0.5000 0.0000 0.0000
N 0.0000 0.5000 0.0000
CELL_PARAMETERS angstrom
4.0700 0.0000 0.0000
0.0000 4.0700 0.0000
0.0000 0.0000 5.9696
! * density of states at the Fermi level: 2.5 states/eV per cell
! * raw total energy: -0.27371 Ry/atom
! * crystal system: tetragonal
! * energy relative to the lowest polymorph listed for this composition: 0.310 eV per atom
! * ΔE_f (raw): 1.319 eV/atom


[3]
! Zr2TcAg PBE-GGA optimized geometry; values from VASP
&SYSTEM
  ibrav = 0, nat = 4, ntyp = 3
/
ATOMIC_SPECIES
Zr 91.22 Zr.upf
Tc 98.00 Tc.upf
Ag 107.87 Ag.upf
ATOMIC_POSITIONS crystal
Zr 0.0000 0.4777 0.5228
Tc 0.5000 0.7500 0.7500
Ag 0.5000 0.2500 0.2500
Zr 0.0000 0.0223 0.9772
CELL_PARAMETERS angstrom
3.3375 0.0000 0.0000
0.0000 3.3273 -0.0018
0.0000 3.3294 6.9445
! * density of states at the Fermi level: 4.2 states/eV per cell
! * raw total energy: -0.57525 Ry/atom
! * crystal system: orthorhombic


[4]
! LiCa2HgP PBE-GGA optimized geometry; values from VASP
&SYSTEM
  ibrav = 0, nat = 5, ntyp = 4
/
ATOMIC_SPECIES
Ca 40.08 Ca.upf
Hg 200.59 Hg.upf
P 30.97 P.upf
Li 6.94 Li.upf
ATOMIC_POSITIONS crystal
Ca 0.5000 0.0000 0.0000
Ca 0.0000 0.5000 0.0000
Hg 0.5000 0.5000 0.5000
P 0.0000 0.0000 0.0000
Li 0.0000 0.0000 0.5000
CELL_PARAMETERS angstrom
-3.4140 0.7851 4.2554
-4.2463 -1.6509 -3.1021
0.7078 -4.4198 1.3833
! * density of states at the Fermi level: 3.6 states/eV per cell
! * raw total energy: -0.21473 Ry/atom
! * crystal system: tetragonal


[5]
! SrOsSe PBE-GGA optimized geometry; values from VASP
&SYSTEM
  ibrav = 0, nat = 3, ntyp = 3
/
ATOMIC_SPECIES
Se 78.96 Se.upf
Os 190.23 Os.upf
Sr 87.62 Sr.upf
ATOMIC_POSITIONS crystal
Se 0.5000 0.5000 0.5000
Os 0.0000 0.0000 0.0000
Sr 0.2500 0.2500 0.2500
CELL_PARAMETERS angstrom
-1.5259 4.7415 0.8282
-3.1261 2.2525 -3.2633
-4.7881 0.9181 1.3141
! * density of states at the Fermi level: 9.3 states/eV per cell
! * raw total energy: -0.31322 Ry/atom
! * crystal system: cubic
! * energy relative to the lowest polymorph listed for this composition: 1.354 eV per atom
! * ΔE_f (raw): 1.204 eV/atom


[6]
! Er2TlH PBE-GGA optimized geometry; values from VASP
&SYSTEM
  ibrav = 0, nat = 4, ntyp = 3
/
ATOMIC_SPECIES
Er 167.26 Er.upf
H 1.01 H.upf
Tl 204.38 Tl.upf
ATOMIC_POSITIONS crystal
Er 0.0000 0.0000 0.7907
Er 0.0000 0.0000 0.2093
H 0.5000 0.5000 0.0000
Tl 0.5000 0.5000 0.5000
CELL_PARAMETERS angstrom
-2.4357 -1.6849 1.5930
2.2702 -2.2030 1.1410
1.0574 4.2615 6.1241
! * density of states at the Fermi level: 3.2 states/eV per cell
! * raw total energy: -0.27075 Ry/atom
! * crystal system: tetragonal
! * energy relative to the lowest polymorph listed for this composition: 0.428 eV per atom


[7]
! HoInGe PBE-GGA optimized geometry; values from VASP
&SYSTEM
  ibrav = 0, nat = 6, ntyp = 3
/
ATOMIC_SPECIES
In 114.82 In.upf
Ge 72.64 Ge.upf
Ho 164.93 Ho.upf
ATOMIC_POSITIONS crystal
In 0.2500 0.7393 0.4787
In 0.7500 0.2607 0.5213
Ge 0.2500 0.4409 0.8817
Ho 0.2500 0.0884 0.1767
Ge 0.7500 0.5591 0.1183
Ho 0.7500 0.9116 0.8233
CELL_PARAMETERS angstrom
3.9911 0.0000 0.0000
0.0000 4.3796 0.0000
0.0000 -2.1898 8.0604
! * density of states at the Fermi level: 3.2 states/eV per cell
! * raw total energy: -0.33063 Ry/atom
! * crystal system: orthorhombic


[8]
! Ga3SbCl PBE-GGA optimized geometry; values from VASP
&SYSTEM
  ibrav = 0, nat = 5, ntyp = 3
/
ATOMIC_SPECIES
Sb 121.76 Sb.upf
Cl 35.45 Cl.upf
Ga 69.72 Ga.upf
ATOMIC_POSITIONS crystal
Sb 0.0000 0.0000 0.0000
Cl 0.5000 0.5000 0.5000
Ga 0.0000 0.0000 0.5000
Ga 0.5000 0.0000 0.0000
Ga 0.0000 0.5000 0.0000
CELL_PARAMETERS angstrom
-5.0208 1.2625 1.9626
-1.0336 -5.3778 0.8152
2.0922 0.3729 5.1125
! * density of states at the Fermi level: 3.7 states/eV per cell
! * raw total energy: -0.20200 Ry/atom
! * crystal system: cubic
! * energy relative to the lowest polymorph listed for this composition: 0.035 eV per atom
! * ΔE_f (raw): 0.262 eV/atom


[9]
! ZrMoAs2 PBE-GGA optimized geometry; values from VASP
&SYSTEM
  ibrav = 0, nat = 4, ntyp = 3
/
ATOMIC_SPECIES
Mo 95.94 Mo.upf
As 74.92 As.upf
Zr 91.22 Zr.upf
ATOMIC_POSITIONS crystal
Mo 0.7500 0.7500 0.7500
As 0.0036 0.0036 0.9728
As 0.4964 0.4964 0.5272
Zr 0.2500 0.2500 0.2500
CELL_PARAMETERS angstrom
-3.8840 -1.1640 -0.2906
-2.5436 -0.8926 3.0427
-3.2541 4.8805 0.9111
! * density of states at the Fermi level: 3.3 states/eV per cell
! * raw total energy: -0.55415 Ry/atom
! * crystal system: monoclinic
! * energy relative to the lowest polymorph listed for this composition: 0.289 eV per atom


[10]
! In2TcW PBE-GGA optimized geometry; values from VASP
&SYSTEM
  ibrav = 0, nat = 4, ntyp = 3
/
ATOMIC_SPECIES
In 114.82 In.upf
Tc 98.00 Tc.upf
W 183.84 W.upf
ATOMIC_POSITIONS crystal
In 0.0132 0.0132 0.0000
In 0.7339 0.2339 0.5000
Tc 0.4786 0.4786 0.0000
W 0.2742 0.7742 0.5000
CELL_PARAMETERS angstrom
5.5725 0.0147 0.0070
2.5709 4.9441 -0.0070
-3.5438 -3.3463 2.7013
! * density of states at the Fermi level: 2.7 states/eV per cell
! * raw total energy: -0.49453 Ry/atom
! * crystal system: orthorhombic
! * energy relative to the lowest polymorph listed for this composition: 0.303 eV per atom


[11]
! SrY2Tl9 PBE-GGA optimized geometry; values from VASP
&SYSTEM
  ibrav = 0, nat = 12, ntyp = 3
/
ATOMIC_SPECIES
Tl 204.38 Tl.upf
Sr 87.62 Sr.upf
Y 88.91 Y.upf
ATOMIC_POSITIONS crystal
Tl 0.5000 0.0000 0.8246
Tl 0.0000 0.5000 0.8246
Tl 0.5000 0.0000 0.5000
Tl 0.5000 0.0000 0.1754
Sr 0.0000 0.0000 0.0000
Tl 0.5000 0.5000 0.0000
Y 0.0000 0.0000 0.6575
Tl 0.5000 0.5000 0.6658
Y 0.0000 0.0000 0.3425
Tl 0.0000 0.5000 0.1754
Tl 0.0000 0.5000 0.5000
Tl 0.5000 0.5000 0.3342
CELL_PARAMETERS angstrom
-3.2206 -2.2318 2.8490
3.2843 -3.4043 1.0459
4.5551 7.8710 11.3149
! * density of states at the Fermi level: 5.2 states/eV per cell
! * raw total energy: -0.23850 Ry/atom
! * crystal system: tetragonal


[12]
! K2CaPuF6 PBE-GGA optimized geometry; values from VASP
&SYSTEM
  ibrav = 0, nat = 20, ntyp = 4
/
ATOMIC_SPECIES
F 19.00 F.upf
K 39.10 K.upf
Pu 244.00 Pu.upf
Ca 40.08 Ca.upf
ATOMIC_POSITIONS crystal
F 0.5960 0.0466 0.2587
K 0.5139 0.5369 0.7518
F 0.2785 0.7081 0.0485
K 0.4861 0.4631 0.2482
Pu 0.5000 0.0000 0.0000
K 0.9861 0.0370 0.7481
F 0.4040 0.9534 0.7413
F 0.7078 0.2759 0.5607
Ca 0.5000 0.0000 0.5000
F 0.9041 0.5465 0.2414
Ca 0.0000 0.5000 0.0000
K 0.0139 0.9630 0.2519
F 0.7787 0.7920 0.5485
F 0.7215 0.2919 0.9515
F 0.2922 0.7241 0.4393
F 0.0959 0.4535 0.7586
F 0.2213 0.2080 0.4515
Pu 0.0000 0.5000 0.5000
F 0.2079 0.2242 0.0607
F 0.7921 0.7758 0.9393
CELL_PARAMETERS angstrom
6.4042 0.0000 -0.0430
0.0000 6.5243 -0.0002
-0.0051 -0.0001 9.0824
! * density of states at the Fermi level: 23.0 states/eV per cell
! * raw total energy: -0.45196 Ry/atom
! * crystal system: monoclinic
! * ΔE_f (raw): -3.174 eV/atom